Here is a geometry-optimized Nd2DyY7 structure from Alexandria. Energies are from PBE-GGA.

As for the formation energy: 0.02 eV/atom. As for the space group: P-1 (2). Its density of states at the Fermi level is 14.95 states/eV/f.u. For the distance to the lowest polymorph of the same formula, the calculation gives 0.000 eV/atom. Its magnetization is 0.00 μB per formula unit.

a b c (Å): 6.2170 6.2186 9.4941
angles (deg): 109.00 102.65 99.69
Last column: nearest neighbours and their distance in Å.
Atoms (fractional coordinates):
Nd1 0.9999 0.1985 0.3981  1 Dy 3.57, 9 Y 3.58-3.63, 2 Nd 3.60-3.62
Nd2 0.0001 0.8015 0.6019  1 Dy 3.57, 9 Y 3.58-3.63, 2 Nd 3.60-3.62
Dy1 0.0000 0.0000 0.0000  2 Nd 3.57, 10 Y 3.58-3.59
Y1 0.0010 0.4014 0.8022  7 Y 3.56-3.60, 2 Dy 3.58, 3 Nd 3.59-3.63
Y2 0.4988 0.3992 0.2986  8 Y 3.57-3.61, 1 Dy 3.58, 3 Nd 3.58-3.61
Y3 0.5000 0.0000 0.5000  4 Nd 3.59, 8 Y 3.59-3.60
Y4 0.5001 0.1999 0.9008  9 Y 3.57-3.60, 1 Nd 3.58, 2 Dy 3.58-3.59
Y5 0.4999 0.8001 0.0992  9 Y 3.57-3.60, 1 Nd 3.58, 2 Dy 3.58-3.59
Y6 0.5012 0.6008 0.7014  8 Y 3.57-3.61, 1 Dy 3.58, 3 Nd 3.58-3.61
Y7 0.9990 0.5986 0.1978  7 Y 3.56-3.60, 2 Dy 3.58, 3 Nd 3.59-3.63

Here is a geometry-optimized TlFe3Br9 structure from Alexandria. Energies are from PBE-GGA.

The calculation puts the formation energy (no corrections) at -0.515 eV per atom. As for the space group: C222_1 (20). Its density of states at the Fermi level is 5.18 states/eV/f.u. Its magnetization is 14.00 μB per formula unit.

a b c (Å): 10.1035 10.1035 10.7144
angles (deg): 90.00 90.00 106.47
Last column: nearest neighbours and their distance in Å.
Atoms (fractional coordinates):
Tl1 0.0968 0.0968 0.0000  8 Br 3.39-3.65
Tl2 0.9032 0.9032 0.5000  8 Br 3.39-3.65
Fe1 0.2550 0.2550 0.5000  4 Br 2.35-2.45
Fe2 0.3177 0.6437 0.9469  4 Br 2.31-2.47
Fe3 0.3563 0.6823 0.5531  4 Br 2.31-2.47
Fe4 0.6437 0.3177 0.0531  4 Br 2.31-2.47
Fe5 0.6823 0.3563 0.4469  4 Br 2.31-2.47
Fe6 0.7450 0.7450 0.0000  4 Br 2.35-2.45
Br1 0.1038 0.1854 0.6698  1 Fe 2.35
Br2 0.1854 0.1038 0.3302  1 Fe 2.35
Br3 0.1913 0.8006 0.9263  1 Fe 2.31
Br4 0.1935 0.4429 0.0472  1 Fe 2.32
Br5 0.1994 0.8087 0.5737  1 Fe 2.31
Br6 0.2434 0.4796 0.4230  2 Fe 2.45-2.47
Br7 0.4146 0.5854 0.7500  2 Fe 2.47
Br8 0.4429 0.1935 0.9528  1 Fe 2.32
Br9 0.4796 0.2434 0.5770  2 Fe 2.45-2.47
Br10 0.5204 0.7566 0.0770  2 Fe 2.45-2.47
Br11 0.5571 0.8065 0.4528  1 Fe 2.32
Br12 0.5854 0.4146 0.2500  2 Fe 2.47
Br13 0.7566 0.5204 0.9230  2 Fe 2.45-2.47
Br14 0.8006 0.1913 0.0737  1 Fe 2.31
Br15 0.8065 0.5571 0.5472  1 Fe 2.32
Br16 0.8087 0.1994 0.4263  1 Fe 2.31
Br17 0.8146 0.8962 0.8302  1 Fe 2.35
Br18 0.8962 0.8146 0.1698  1 Fe 2.35

Here is a geometry-optimized CrOs2Se structure from Alexandria. Energies are from PBE-GGA.

The calculation puts the formation energy (no corrections) at 0.689 eV per atom. As for the space group: I-4m2 (119). Its density of states at the Fermi level is 3.46 states/eV/f.u. Its magnetization is 2.09 μB per formula unit.

a b c (Å): 3.8390 3.8390 7.9238
angles (deg): 90.00 90.00 90.00
Last column: nearest neighbours and their distance in Å.
Atoms (fractional coordinates):
Cr1 0.0000 0.0000 0.0000  8 Os 2.71-2.76, 4 Se 2.76
Cr2 0.5000 0.5000 0.5000  8 Os 2.71-2.76, 4 Se 2.76
Os1 0.0000 0.0000 0.5000  4 Cr 2.71, 4 Se 2.76, 4 Os 2.76
Os2 0.0000 0.5000 0.7500  4 Se 2.71, 4 Cr 2.76, 4 Os 2.76
Os3 0.5000 0.0000 0.2500  4 Se 2.71, 4 Cr 2.76, 4 Os 2.76
Os4 0.5000 0.5000 0.0000  4 Cr 2.71, 4 Se 2.76, 4 Os 2.76
Se1 0.0000 0.5000 0.2500  8 Os 2.71-2.76, 4 Cr 2.76
Se2 0.5000 0.0000 0.7500  8 Os 2.71-2.76, 4 Cr 2.76

Here is a geometry-optimized KBa2CrRu structure from Alexandria. Energies are from PBE-GGA.

As for the formation energy: 1.81 eV/atom. As for the space group: P4/mmm (123). Its density of states at the Fermi level is 10.43 states/eV/f.u. For the distance to the lowest polymorph of the same formula, the calculation gives 0.377 eV/atom. Its magnetization is 5.87 μB per formula unit.

a b c (Å): 6.3129 6.3129 5.1011
angles (deg): 90.00 90.00 90.00
Last column: nearest neighbours and their distance in Å.
Atoms (fractional coordinates):
K1 0.0000 0.0000 0.0000  2 Cr 2.55
Ba1 0.0000 0.5000 0.0000  2 K 3.16
Ba2 0.5000 0.0000 0.0000  2 K 3.16
Cr1 0.0000 0.0000 0.5000  2 K 2.55
Ru1 0.5000 0.5000 0.5000  8 Ba 4.06, 4 Cr 4.46

What is the formula in the second record? TlFe3Br9

magnetization of number 2 (TlFe3Br9)? 14.00 μB per formula unit